No. 1
# Sr2GaCuSO3

An optimized crystal structure of Sr2GaCuSO3 (GGA-PBE, Alexandria via LeMat-Bulk).

Unit cell a=3.9024 b=3.9024 c=15.8351 alpha=90.00 beta=90.00 gamma=90.00
Sites, in units of the cell vectors:
1 Sr 0.2500 0.2500 0.0868
2 Sr 0.2500 0.2500 0.3168
3 Sr 0.7500 0.7500 0.6832
4 Sr 0.7500 0.7500 0.9132
5 Ga 0.2500 0.2500 0.8112
6 Ga 0.7500 0.7500 0.1888
7 Cu 0.2500 0.7500 0.5000
8 Cu 0.7500 0.2500 0.5000
9 S 0.2500 0.2500 0.5897
10 S 0.7500 0.7500 0.4103
11 O 0.2500 0.2500 0.9311
12 O 0.2500 0.7500 0.2127
13 O 0.2500 0.7500 0.7873
14 O 0.7500 0.2500 0.2127
15 O 0.7500 0.2500 0.7873
16 O 0.7500 0.7500 0.0689

Computed properties:
Magnetic moment, μB/cell: 0.0
Space-group type: P4/nmm, No. 129
Uncorrected formation energy, eV/f.u.: -15.8

No. 2
# SrAcCe

An optimized crystal structure of SrAcCe (GGA-PBE, Alexandria via LeMat-Bulk).

Unit cell a=8.8906 b=8.8906 c=8.8906 alpha=154.87 beta=154.87 gamma=35.84
Sites, in units of the cell vectors:
1 Sr 0.0000 0.0000 0.0000
2 Ac 0.3150 0.3150 0.0000
3 Ce 0.6692 0.6692 0.0000

Computed properties:
Energy above the lowest structure with this stoichiometry, kJ per mole of atoms: 7.07
D(E_F), states/eV per cell: 8.14
Formation energy, eV per atom: 0.20
Magnetic moment, μB/cell: 1.3
Space-group type: I4mm, No. 107

No. 3
# Nd2EuZn

An optimized crystal structure of Nd2EuZn (GGA-PBE, Alexandria via LeMat-Bulk).

Unit cell a=5.0085 b=5.0085 c=4.7416 alpha=90.00 beta=90.00 gamma=90.00
Sites, in units of the cell vectors:
1 Nd 0.0000 0.5000 0.0000
2 Nd 0.5000 0.0000 0.0000
3 Eu 0.0000 0.0000 0.5000
4 Zn 0.5000 0.5000 0.5000

Computed properties:
Energy above the lowest structure with this stoichiometry, kJ per mole of atoms: 12.80
D(E_F), states/eV per cell: 5.70
Formation energy, eV per atom: 0.01
Magnetic moment, μB/cell: 7.2
Space-group type: P4/mmm, No. 123